Arrangement P

A plane-wave DFT calculation with GGA+U was carried out for a relaxed Ba2NiF2 crystal.

a = 7.766 Å, b = 7.766 Å, c = 3.475 Å
α = 90.00°, β = 90.00°, γ = 90.00°
Fractional coordinates of all 10 atoms:
Ba1 0.186 0.686 0.500
F1 0.618 0.118 0.000
Ba2 0.686 0.814 0.500
Ba3 0.814 0.314 0.500
F2 0.882 0.618 0.000
F3 0.118 0.382 0.000
F4 0.382 0.882 0.000
Ba4 0.314 0.186 0.500
Ni1 0.000 0.000 0.000
Ni2 0.500 0.500 0.000

density = 5.9 g/cm3
DOS at the Fermi energy = 0.06 states/eV/atom
magnetic moment = 0.000 μB/atom

Arrangement Q

A plane-wave DFT calculation with GGA+U was carried out for a relaxed Ba2NiF2 crystal.

a = 5.235 Å, b = 5.235 Å, c = 5.835 Å
α = 63.35°, β = 63.35°, γ = 90.00°
Fractional coordinates of all 5 atoms:
Ba1 0.750 0.250 0.500
F1 0.673 0.673 0.655
Ba2 0.250 0.750 0.500
Ni1 0.000 0.000 0.000
F2 0.327 0.327 0.345

density = 5.0 g/cm3
DOS at the Fermi energy = 0.00 states/eV/atom
magnetic moment = 0.000 μB/atom

Least stable: arrangement Q

Arrangement P

A plane-wave DFT calculation with GGA+U was carried out for a relaxed BaNiF3 crystal.

a = 5.069 Å, b = 5.069 Å, c = 5.069 Å
α = 90.00°, β = 90.00°, γ = 90.00°
Site moments in Bohr magnetons follow the coordinates.
Fractional coordinates of all 5 atoms:
F1 0.500 0.000 0.000  0.04
Ni1 0.500 0.500 0.500  2.23
Ba1 0.000 0.000 0.000  0.00
F2 0.000 0.500 0.000  0.06
F3 0.000 0.000 0.500  0.05

density = 3.2 g/cm3
DOS at the Fermi energy = 0.00 states/eV/atom
magnetic moment = 0.600 μB/atom

Arrangement Q

A plane-wave DFT calculation with GGA+U was carried out for a relaxed BaNiF3 crystal.

a = 4.260 Å, b = 4.260 Å, c = 4.260 Å
α = 90.00°, β = 90.00°, γ = 90.00°
Site moments in Bohr magnetons follow the coordinates.
Fractional coordinates of all 5 atoms:
F1 0.000 0.500 0.000  0.03
Ba1 0.500 0.500 0.500  -0.05
F2 0.000 0.000 0.500  0.01
F3 0.500 0.000 0.000  0.04
Ni1 0.000 0.000 0.000  1.27

density = 5.4 g/cm3
DOS at the Fermi energy = 0.57 states/eV/atom
magnetic moment = 0.240 μB/atom

Least stable: arrangement P